This record from the Alexandria database describes a geometry-optimized Li3Th2Ge4 structure. The functional is PBE.

a = 5.9707 Å, b = 7.7610 Å, c = 8.2341 Å
α = 90.00°, β = 111.26°, γ = 90.00°
Element x y z (fractional)
Ge 0.6986 0.7500 0.8972
Ge 0.3014 0.2500 0.1028
Li 0.5320 0.7500 0.5641
Th 0.8885 0.4093 0.7771
Ge 0.1791 0.9651 0.3582
Ge 0.3209 0.4651 0.6418
Ge 0.8209 0.0349 0.6418
Li 0.5000 0.5000 0.0000
Li 0.0320 0.7500 0.5641
Th 0.6115 0.9093 0.2229
Ge 0.6791 0.5349 0.3582
Li 0.9680 0.2500 0.4359
Ge 0.1986 0.7500 0.8972
Li 0.4680 0.2500 0.4359
Th 0.1115 0.5907 0.2229
Li 0.0000 0.0000 0.0000
Th 0.3885 0.0907 0.7771
Ge 0.8014 0.2500 0.1028

***

This record from the Alexandria database describes a geometry-optimized LiThZnGe2 structure. The functional is PBE.

a = 4.1379 Å, b = 4.1379 Å, c = 6.3509 Å
α = 109.01°, β = 109.01°, γ = 90.00°
Element x y z (fractional)
Ge 0.3860 0.3860 0.7720
Li 0.7500 0.2500 0.5000
Zn 0.2500 0.7500 0.5000
Th 0.0000 0.0000 0.0000
Ge 0.6140 0.6140 0.2280

***

This record from the Alexandria database describes a geometry-optimized Li2ThZn2Ge2 structure. The functional is PBE.

a = 4.2540 Å, b = 4.2540 Å, c = 8.3475 Å
α = 75.24°, β = 75.24°, γ = 60.00°
Element x y z (fractional)
Zn 0.4427 0.4427 0.6718
Ge 0.2574 0.2574 0.2278
Li 0.1446 0.1446 0.5663
Ge 0.7426 0.7426 0.7722
Th 0.0000 0.0000 0.0000
Li 0.8554 0.8554 0.4337
Zn 0.5573 0.5573 0.3282

***

This record from the Alexandria database describes a geometry-optimized Li2Ti2Ge structure. The functional is PBE.

Values from the calculation:
The calculation puts the energy relative to the lowest polymorph listed for this composition at 315 meV per atom.

a = 3.8313 Å, b = 3.8313 Å, c = 6.0299 Å
α = 71.48°, β = 71.48°, γ = 90.00°
Element x y z (fractional)
Ti 0.7500 0.2500 0.5000
Li 0.4159 0.4159 0.1682
Ge 0.0000 0.0000 0.0000
Ti 0.2500 0.7500 0.5000
Li 0.5841 0.5841 0.8318

***

Number 1: ΔH_f (0 K) -476 meV/atom. Number 2: ΔH_f (0 K) -500 meV/atom. Number 3: ΔH_f (0 K) -476 meV/atom. Number 4: ΔH_f (0 K) 385 meV/atom.